# 1
Li2MoPb: relaxed, GGA-PBE.

Cell lengths 3.6394, 4.7226, 9.0969 Å; angles 90.00, 90.00, 90.00 degrees
Last column: nearest neighbours and their distance in Å.
Space group Cmm2 (No. 35)
One atom of each set of equivalent atoms:
Li 0.0000 0.0000 0.0000 x2  2 Mo 2.77, 6 Li 2.98-3.01
Li 0.0000 0.5000 0.2638 x2  2 Pb 2.97, 6 Li 2.98-3.01
Mo 0.0000 0.5000 0.7705 x2  2 Li 2.77, 2 Pb 2.90, 4 Mo 2.98
Pb 0.0000 0.0000 0.5218 x2  2 Mo 2.90, 2 Li 2.97, 4 Pb 2.98

Results
The calculation puts the formation enthalpy at 0 K at 1.55 eV per formula unit.


# 2
LiMoPb2: relaxed, GGA-PBE.

Cell lengths 4.7072, 4.7072, 7.8042 Å; angles 90.00, 90.00, 90.00 degrees
Last column: nearest neighbours and their distance in Å.
Space group I4/mmm (No. 139)
One atom of each set of equivalent atoms:
Li 0.0000 0.0000 0.0000 x2  8 Pb 3.06, 4 Mo 3.33
Mo 0.0000 0.0000 0.5000 x2  8 Pb 3.06, 4 Li 3.33
Pb 0.0000 0.5000 0.2500 x4  4 Li 3.06, 4 Mo 3.06, 4 Pb 3.33

Results
The calculation puts the formation enthalpy at 0 K at 1.75 eV per formula unit. The energy relative to the lowest polymorph listed for this composition is 158 meV per atom.